1.
BaAl2In2, relaxed, DFT PBE; space group = P4/nmm (129); crystal system = tetragonal; formation energy from the elements = -0.268 eV per atom; raw total energy = -3.24 eV per atom
1.0
4.7935 0.0000 0.0000
0.0000 4.7935 0.0000
0.0000 0.0000 11.7851
Ba Al In
2 4 4
Cartesian
1.1984 1.1984 2.9272
3.5952 3.5952 8.8579
1.1984 1.1984 7.4676
1.1984 3.5952 0.0000
3.5952 1.1984 0.0000
3.5952 3.5952 4.3175
1.1984 1.1984 10.2422
1.1984 3.5952 5.8926
3.5952 1.1984 5.8926
3.5952 3.5952 1.5429


2.
La4Ga2Co, relaxed, DFT PBE; space group = I4/mmm (139); crystal system = tetragonal; formation energy from the elements = -0.278 eV per atom; raw total energy = -4.97 eV per atom
1.0
-2.5805 2.5805 7.8653
2.5805 -2.5805 7.8653
2.5805 2.5805 -7.8653
La Ga Co
4 2 1
Cartesian
2.5805 0.0000 0.0000
0.0000 0.0000 2.8898
0.0000 2.5805 0.0000
0.0000 0.0000 12.8408
0.0000 0.0000 5.8629
0.0000 0.0000 9.8678
0.0000 0.0000 0.0000


3.
LiTeW2, relaxed, DFT PBE; raw formation energy = 187 kJ/mol of formula units; space group = I-4m2 (119); crystal system = tetragonal; raw total energy = -7.25 eV per atom
1.0
-2.2581 2.2581 3.2272
2.2581 -2.2581 3.2272
2.2581 2.2581 -3.2272
Li Te W
1 1 2
Cartesian
0.0000 0.0000 0.0000
0.0000 2.2581 1.6136
2.2581 0.0000 1.6136
0.0000 0.0000 3.2272


4.
SmAgHg4, relaxed, DFT PBE; space group = F-43m (216); crystal system = cubic; formation energy from the elements = -0.009 eV per atom; raw total energy = -1.47 eV per atom
1.0
0.0000 4.1835 4.1835
4.1835 0.0000 4.1835
4.1835 4.1835 0.0000
Sm Ag Hg
1 1 4
Cartesian
0.0000 0.0000 0.0000
2.0917 2.0917 2.0917
5.2281 3.1388 3.1388
3.1388 5.2281 3.1388
3.1388 3.1388 5.2281
5.2281 5.2281 5.2281


5.
NiAgCl2, relaxed, DFT PBE; raw formation energy = 0 kJ/mol of formula units; space group = Pmmm (47); crystal system = orthorhombic; raw total energy = -3.08 eV per atom
1.0
3.5697 0.0000 0.0000
0.0000 3.5999 0.0000
0.0000 0.0000 6.7554
Ni Ag Cl
1 1 2
Cartesian
0.0000 0.0000 0.0000
0.0000 1.7999 3.3777
1.7849 0.0000 3.3777
1.7849 1.7999 0.0000


6.
YSc2Si, relaxed, DFT PBE; raw formation energy = -140 kJ/mol of formula units; space group = Immm (71); crystal system = orthorhombic; raw total energy = -6.50 eV per atom
1.0
-1.8029 2.4277 5.2397
1.8029 -2.4277 5.2397
1.8029 2.4277 -5.2397
Y Sc Si
1 2 1
Cartesian
0.0000 0.0000 0.0000
1.8029 0.0000 3.0591
0.0000 2.4277 2.1806
0.0000 0.0000 5.2397


7.
LiAcThRh, relaxed, DFT PBE; space group = F-43m (216); crystal system = cubic; formation energy from the elements = -0.183 eV per atom; raw total energy = -5.38 eV per atom
1.0
0.0000 3.7002 3.7002
3.7002 0.0000 3.7002
3.7002 3.7002 0.0000
Li Ac Th Rh
1 1 1 1
Cartesian
0.0000 0.0000 0.0000
5.5503 5.5503 5.5503
1.8501 1.8501 1.8501
3.7002 3.7002 3.7002


8.
CrAgBr3, relaxed, DFT PBE; raw formation energy = -118 kJ/mol of formula units; space group = Pm-3m (221); crystal system = cubic; raw total energy = -3.74 eV per atom
1.0
5.1594 0.0000 0.0000
0.0000 5.1594 0.0000
0.0000 0.0000 5.1594
Cr Ag Br
1 1 3
Cartesian
0.0000 0.0000 0.0000
2.5797 2.5797 2.5797
0.0000 0.0000 2.5797
0.0000 2.5797 0.0000
2.5797 0.0000 0.0000